1.
A relaxed Ti3ZnPt crystal, computed with PBE.

- Size of the total moment: 1.363 Bohr magnetons per cell
- Energy above the lowest structure with this stoichiometry: 57.2 kJ/mol of atoms

a = 4.5683 Å, b = 4.5683 Å, c = 4.5683 Å
α = 90.00°, β = 90.00°, γ = 90.00°
With the nearest neighbours (Å) after each atom.
Space group Pm-3m (No. 221)
Symmetry-distinct sites (fractional):
Ti1 0.0000 0.0000 0.5000 x3  2 Zn 2.28
Zn1 0.0000 0.0000 0.0000 x1  6 Ti 2.28
Pt1 0.5000 0.5000 0.5000 x1  12 Ti 3.23

***

2.
A relaxed Ti2Zn2Pt crystal, computed with PBE.

- Size of the total moment: 0.000 Bohr magnetons per cell
- Energy above the lowest structure with this stoichiometry: 6.8 kJ/mol of atoms

a = 6.6098 Å, b = 6.6098 Å, c = 3.5464 Å
α = 90.00°, β = 90.00°, γ = 90.00°
With the nearest neighbours (Å) after each atom.
Space group P4/mbm (No. 127)
Symmetry-distinct sites (fractional):
Ti1 0.1706 0.3294 0.0000 x4  6 Zn 2.57-2.68
Zn1 0.1300 0.6300 0.5000 x4  1 Zn 2.43, 6 Ti 2.57-2.68, 2 Pt 2.59
Pt1 0.0000 0.0000 0.5000 x2  4 Zn 2.59

***

3.
A relaxed TiZn5Pt6 crystal, computed with PBE.

- Electronic total energy: -58.4 eV/f.u.
- Size of the total moment: 0.000 Bohr magnetons per cell

a = 13.5256 Å, b = 5.7203 Å, c = 4.6162 Å
α = 90.00°, β = 96.35°, γ = 90.00°
With the nearest neighbours (Å) after each atom.
Space group C2/m (No. 12)
Symmetry-distinct sites (fractional):
Ti1 0.0000 0.0000 0.0000 x2  8 Pt 2.68-2.72, 4 Zn 2.86-2.90
Zn1 0.0000 0.5000 0.0000 x2  8 Pt 2.67-2.71, 2 Ti 2.86, 2 Zn 2.92
Zn2 0.1657 0.0000 0.6526 x4  8 Pt 2.69-2.76, 3 Zn 2.78-2.86, 1 Ti 2.90
Zn3 0.1689 0.5000 0.6558 x4  8 Pt 2.70-2.73, 4 Zn 2.78-2.92
Pt1 0.0000 0.2517 0.5000 x4  6 Zn 2.69-2.72, 2 Ti 2.72, 4 Pt 2.84-2.89
Pt2 0.1650 0.2514 0.1527 x8  7 Zn 2.67-2.76, 1 Ti 2.68, 4 Pt 2.83-2.89

***

4.
A relaxed Ti2Zn3Pt4 crystal, computed with PBE.

- Electronic total energy: -50.3 eV/f.u.
- Size of the total moment: 0.000 Bohr magnetons per cell

a = 8.5035 Å, b = 3.9689 Å, c = 8.3504 Å
α = 90.00°, β = 106.08°, γ = 90.00°
With the nearest neighbours (Å) after each atom.
Space group C2/m (No. 12)
Symmetry-distinct sites (fractional):
Ti1 0.1767 0.0000 0.2203 x4  7 Pt 2.69-2.81, 5 Zn 2.82-2.86
Zn1 0.0000 0.5000 0.0000 x2  8 Pt 2.71-2.77, 4 Ti 2.84
Zn2 0.1561 0.0000 0.5563 x4  3 Zn 2.56-2.86, 6 Pt 2.65-2.81, 3 Ti 2.82-2.86
Pt1 0.0201 0.5000 0.3294 x4  6 Zn 2.65-2.81, 3 Ti 2.69-2.81, 3 Pt 2.85-2.96
Pt2 0.1608 0.0000 0.8904 x4  4 Zn 2.71-2.78, 4 Ti 2.72-2.76, 4 Pt 2.84-2.85

***

5.
A relaxed TiZnPt2 crystal, computed with PBE.

- Electronic total energy: -22.7 eV/f.u.
- Size of the total moment: 0.000 Bohr magnetons per cell

a = 6.9848 Å, b = 6.9848 Å, c = 5.5279 Å
α = 90.00°, β = 90.00°, γ = 90.00°
With the nearest neighbours (Å) after each atom.
Space group I-42d (No. 122)
Symmetry-distinct sites (fractional):
Ti1 0.0000 0.0000 0.0000 x4  4 Pt 2.52, 2 Zn 2.76
Zn1 0.0000 0.0000 0.5000 x4  4 Pt 2.61, 2 Ti 2.76
Pt1 0.2407 0.2500 0.1250 x8  2 Ti 2.52, 2 Zn 2.61, 2 Pt 2.77

***

6.
A relaxed Ti6ZnPt5 crystal, computed with PBE.

- Electronic total energy: -88.4 eV/f.u.
- Size of the total moment: 0.013 Bohr magnetons per cell

a = 4.8226 Å, b = 5.6137 Å, c = 7.4214 Å
α = 112.17°, β = 90.92°, γ = 90.03°
With the nearest neighbours (Å) after each atom.
Space group P-1 (No. 2)
Symmetry-distinct sites (fractional):
Ti1 0.0000 0.2482 0.0002 x2  6 Pt 2.76-2.79, 4 Ti 2.79-2.83, 2 Zn 2.79-2.80
Ti2 0.3312 0.0812 0.6642 x2  7 Pt 2.78-2.81, 4 Ti 2.80-2.83, 1 Zn 2.81
Ti3 0.3312 0.5830 0.6638 x2  7 Pt 2.78-2.81, 4 Ti 2.80-2.83, 1 Zn 2.81
Zn1 0.5000 0.5000 0.0000 x1  4 Pt 2.79-2.81, 8 Ti 2.79-2.81
Pt1 0.1661 0.6637 0.3274 x2  8 Ti 2.76-2.81, 1 Zn 2.79, 3 Pt 2.81-2.88
Pt2 0.1705 0.1654 0.3310 x2  8 Ti 2.78-2.80, 4 Pt 2.80-2.88
Pt3 0.5000 0.0000 0.0000 x1  8 Ti 2.78-2.81, 2 Pt 2.80, 2 Zn 2.81

***

7.
A relaxed Ti2ZnPt crystal, computed with PBE.

- Electronic total energy: -24.9 eV/f.u.
- Size of the total moment: 0.001 Bohr magnetons per cell

a = 2.8045 Å, b = 11.0999 Å, c = 8.2119 Å
α = 90.00°, β = 90.00°, γ = 90.00°
With the nearest neighbours (Å) after each atom.
Space group Cmcm (No. 63)
Symmetry-distinct sites (fractional):
Ti1 0.0000 0.1243 0.0276 x8  3 Pt 2.68-2.69, 3 Ti 2.80, 4 Zn 2.86-2.88
Zn1 0.0000 0.4719 0.2500 x4  2 Zn 2.80, 8 Ti 2.86-2.88, 3 Pt 2.86-3.05
Pt1 0.0000 0.2530 0.7500 x4  6 Ti 2.68-2.69, 2 Pt 2.80, 2 Zn 2.86

***

8.
A relaxed Ti5ZnPt6 crystal, computed with PBE.

- Electronic total energy: -87.3 eV/f.u.
- Size of the total moment: 2.016 Bohr magnetons per cell

a = 4.0224 Å, b = 7.6268 Å, c = 12.0352 Å
α = 90.00°, β = 90.00°, γ = 90.00°
With the nearest neighbours (Å) after each atom.
Space group Immm (No. 71)
Symmetry-distinct sites (fractional):
Ti1 0.0000 0.0000 0.0000 x2  4 Ti 2.76, 8 Pt 2.79-2.82
Ti2 0.0000 0.0000 0.3274 x4  8 Pt 2.72-2.77, 2 Ti 2.87, 2 Zn 2.89
Ti3 0.0000 0.5000 0.3426 x4  8 Pt 2.74-2.83, 4 Ti 2.76-2.87
Zn1 0.0000 0.5000 0.0000 x2  8 Pt 2.72-2.77, 4 Ti 2.89
Pt1 0.0000 0.2404 0.5000 x4  2 Zn 2.72, 6 Ti 2.74-2.82, 4 Pt 2.85
Pt2 0.0000 0.2522 0.1681 x8  7 Ti 2.72-2.83, 1 Zn 2.77, 4 Pt 2.82-2.85